# VRuF3 PBE+U relaxed
data_VRuF3
_chemical_formula_sum 'V1 Ru1 F3'
_space_group_name_H-M_alt 'P 1'
_space_group_IT_number 1
_space_group_name_Hall 'P 1'
_cell_length_a 4.1682
_cell_length_b 4.1682
_cell_length_c 4.1682
_cell_angle_alpha 90.00
_cell_angle_beta 90.00
_cell_angle_gamma 90.00
loop_
_atom_site_label
_atom_site_type_symbol
_atom_site_fract_x
_atom_site_fract_y
_atom_site_fract_z
Ru1 Ru 0.5000 0.5000 0.5000
V1 V 0.0000 0.0000 0.0000
F1 F 0.0000 0.5000 0.0000
F2 F 0.0000 0.0000 0.5000
F3 F 0.5000 0.0000 0.0000
# total magnetic moment	6.04	Bohr magnetons per cell
# ΔE to the lowest computed polymorph	0.0	meV per atom
# crystal system	cubic
# calculated density	4.793	g cm⁻³
# total energy	-27.89	eV/f.u.